Record 1
# NdZrCuOs

NdZrCuOs after structural relaxation (PBE, the Alexandria database).

Unit cell a=4.8342 b=4.8342 c=4.8342 alpha=60.00 beta=60.00 gamma=60.00
Fractional positions:
Nd  0.0000  0.0000  0.0000
Os  0.7500  0.7500  0.7500
Cu  0.2500  0.2500  0.2500
Zr  0.5000  0.5000  0.5000

- E_form: -0.3 eV/f.u.
- V: 80 Å³/cell
- M_tot: 0.0 μB/cell
- E: -7.245 eV/atom

Record 2
# Nd3Cu2P4

Nd3Cu2P4 after structural relaxation (PBE, the Alexandria database).

Unit cell a=3.9805 b=6.7235 c=8.5066 alpha=119.95 beta=90.00 gamma=107.22
Fractional positions:
Nd  0.6379  0.2758  0.7263
Nd  0.0000  0.0000  0.0000
Nd  0.3621  0.7242  0.2737
Cu  0.6808  0.3615  0.3756
Cu  0.3192  0.6385  0.6244
P  0.6797  0.3595  0.0980
P  0.3203  0.6405  0.9020
P  0.9110  0.8220  0.5923
P  0.0890  0.1780  0.4077

- E_form: -8.8 eV/f.u.
- V: 185 Å³/cell
- M_tot: 0.0 μB/cell
- E: -5.882 eV/atom